(1)
This record from Alexandria via LeMat-Bulk describes crystalline KLaCl at its relaxed geometry. The functional is PBE.

a = 3.9043 Å, b = 6.6866 Å, c = 16.9551 Å
α = 90.00°, β = 90.00°, γ = 90.00°
Space group Fmm2 (No. 42)
One atom of each set of equivalent atoms:
K (0.0000, 0.0000, 0.0000) x4
La (0.0000, 0.0000, 0.7238) x4
Cl (0.0000, 0.0000, 0.3589) x4

## Properties
Distance to the lowest polymorph of the same formula in eV per formula unit: 0.226
Uncorrected energy in eV for the cell shown: -41.9
ΔE_f (raw) in eV/atom: -0.8646

(2)
This record from Alexandria via LeMat-Bulk describes crystalline TiMnZn at its relaxed geometry. The functional is PBE.

a = 4.2487 Å, b = 4.2487 Å, c = 17.6901 Å
α = 90.00°, β = 90.00°, γ = 120.00°
Space group R-3m (No. 166, hexagonal axes)
One atom of each set of equivalent atoms:
Ti (0.0000, 0.0000, 0.0818) x6
Mn (0.0000, 0.0000, 0.1976) x6
Zn (0.0000, 0.0000, 0.3496) x6

## Properties
Uncorrected energy in eV for the cell shown: -103.6
DFT formation energy in meV/atom: 357